[1]
The following is a DFT calculation (PBE) of Cr4B3 after structural relaxation.

Properties
The density of states at the Fermi level comes out at 0.88 states/eV per atom. Its total magnetization is 0.0 μB/cell. As for the crystal system: monoclinic. For the formation enthalpy at 0 K, the calculation gives -257 meV/atom. Its electronic total energy is -60.3 eV per cell. Its space group is C2/m, No. 12.

Lattice parameters (Å, degrees): 5.4881 5.4881 4.2749 101.18 101.18 30.80
Atoms (fractional coordinates):
1 Cr 0.0728 0.0728 0.3100
2 Cr 0.3353 0.3353 0.1619
3 Cr 0.6647 0.6647 0.8381
4 Cr 0.9272 0.9272 0.6900
5 B 0.2673 0.2673 0.6167
6 B 0.5000 0.5000 0.0000
7 B 0.7327 0.7327 0.3833

---

[2]
The following is a DFT calculation (PBE) of La4TlInN after structural relaxation.

Properties
The value obtained for the energy relative to the elements, uncorrected is -0.649 eV/atom. The density of states at the Fermi level comes out at 0.86 states/eV per atom. Its total magnetization is 0.0 μB/cell. As for the crystal system: orthorhombic. Its electronic total energy is -75.4 eV per cell. Its space group is Cmcm, No. 63.

Lattice parameters (Å, degrees): 9.0202 9.0202 7.1938 90.00 90.00 133.05
Atoms (fractional coordinates):
1 La 0.0000 0.5000 0.0000
2 La 0.0000 0.5000 0.5000
3 La 0.0869 0.9131 0.7500
4 La 0.4126 0.5874 0.7500
5 La 0.5000 0.0000 0.0000
6 La 0.5000 0.0000 0.5000
7 La 0.5874 0.4126 0.2500
8 La 0.9131 0.0869 0.2500
9 Tl 0.1121 0.8879 0.2500
10 Tl 0.8879 0.1121 0.7500
11 In 0.3871 0.6129 0.2500
12 In 0.6129 0.3871 0.7500
13 N 0.2497 0.7503 0.7500
14 N 0.7503 0.2497 0.2500

---

[3]
The following is a DFT calculation (PBE) of Sr2ScHg after structural relaxation.

Properties
The density of states at the Fermi level comes out at 1.82 states/eV per atom. Its total magnetization is 0.0 μB/cell. As for the crystal system: cubic. For the formation enthalpy at 0 K, the calculation gives 86 meV/atom. Its electronic total energy is -9.7 eV per cell. Its space group is Fm-3m, No. 225. The calculation puts the energy above the most stable polymorph in this dataset at 0.860 eV/f.u.

Lattice parameters (Å, degrees): 5.7653 5.7653 5.7653 60.00 60.00 60.00
Atoms (fractional coordinates):
1 Sr 0.2500 0.2500 0.2500
2 Sr 0.7500 0.7500 0.7500
3 Sc 0.0000 0.0000 0.0000
4 Hg 0.5000 0.5000 0.5000